(1)
VASP calculation (PBE) on a relaxed structure of Tb2PrEr6Tm3.

Cell lengths 6.1080, 6.1080, 11.6807 Å; angles 94.99, 94.99, 119.95 degrees
Fractional positions:
Tb: 0.1667 0.8333 0.0000
Tb: 0.8333 0.1667 0.0000
Pr: 0.5000 0.5000 0.0000
Er: 0.0812 0.4152 0.7465
Er: 0.2507 0.2507 0.2534
Er: 0.4152 0.0812 0.7465
Er: 0.5848 0.9188 0.2535
Er: 0.7493 0.7493 0.7466
Er: 0.9188 0.5848 0.2535
Tm: 0.0000 0.0000 0.5000
Tm: 0.3331 0.6669 0.5000
Tm: 0.6669 0.3331 0.5000

## Properties
Energy (eV per atom): -4.546
DOS at the Fermi energy (states/eV per atom): 1.371
SG: No. 12
Crystal system: monoclinic



(2)
VASP calculation (PBE) on a relaxed structure of TbPr2Er2Tm2.

Cell lengths 6.1069, 6.1069, 11.8088 Å; angles 108.27, 108.27, 33.38 degrees
Fractional positions:
Tb: 0.0000 0.0000 0.0000
Pr: 0.3285 0.3285 0.4147
Pr: 0.6715 0.6715 0.5853
Er: 0.4510 0.4510 0.7322
Er: 0.5490 0.5490 0.2678
Tm: 0.2266 0.2266 0.8657
Tm: 0.7734 0.7734 0.1343

## Properties
Energy (eV per atom): -4.522
DOS at the Fermi energy (states/eV per atom): 1.627
SG: No. 12
Crystal system: monoclinic



(3)
VASP calculation (PBE) on a relaxed structure of TbPr2Er6Tm3.

Cell lengths 6.1351, 6.1351, 11.7118 Å; angles 95.01, 95.01, 119.95 degrees
Fractional positions:
Tb: 0.0000 0.0000 0.0000
Pr: 0.3333 0.6667 0.0000
Pr: 0.6667 0.3333 0.0000
Er: 0.0856 0.4182 0.2546
Er: 0.2468 0.2468 0.7453
Er: 0.4182 0.0856 0.2546
Er: 0.5818 0.9144 0.7454
Er: 0.7532 0.7532 0.2547
Er: 0.9144 0.5818 0.7454
Tm: 0.1664 0.8336 0.5000
Tm: 0.5000 0.5000 0.5000
Tm: 0.8336 0.1664 0.5000

## Properties
Energy (eV per atom): -4.557
DOS at the Fermi energy (states/eV per atom): 1.376
SG: No. 12
Crystal system: monoclinic



(4)
VASP calculation (PBE) on a relaxed structure of Tb2Pr5ErTm.

Cell lengths 10.6999, 10.6999, 10.7176 Å; angles 90.00, 90.00, 149.36 degrees
Fractional positions:
Tb: 0.1142 0.8858 0.5000
Tb: 0.1136 0.8864 0.9352
Tb: 0.8858 0.1142 0.0000
Tb: 0.8864 0.1136 0.4352
Pr: 0.0148 0.9852 0.2097
Pr: 0.2783 0.7217 0.5102
Pr: 0.2954 0.7046 0.9028
Pr: 0.3806 0.6194 0.2151
Pr: 0.4860 0.5140 0.9420
Pr: 0.5140 0.4860 0.4420
Pr: 0.6194 0.3806 0.7151
Pr: 0.7046 0.2954 0.4028
Pr: 0.7217 0.2783 0.0102
Pr: 0.9852 0.0148 0.7097
Er: 0.4049 0.5951 0.6644
Er: 0.5951 0.4049 0.1644
Tm: 0.1979 0.8021 0.2065
Tm: 0.8021 0.1979 0.7065

## Properties
Energy (eV per atom): -4.551
DOS at the Fermi energy (states/eV per atom): 1.556
SG: No. 36
Crystal system: orthorhombic



(5)
VASP calculation (PBE) on a relaxed structure of Tb2Pr2Er2Tm.

Cell lengths 6.1220, 6.1220, 11.8613 Å; angles 108.53, 108.53, 33.40 degrees
Fractional positions:
Tb: 0.0499 0.0499 0.2664
Tb: 0.9501 0.9501 0.7336
Pr: 0.1702 0.1702 0.5855
Pr: 0.8298 0.8298 0.4145
Er: 0.2728 0.2728 0.1338
Er: 0.7272 0.7272 0.8662
Tm: 0.5000 0.5000 0.0000

## Properties
Energy (eV per atom): -4.546
DOS at the Fermi energy (states/eV per atom): 1.585
SG: No. 12
Crystal system: monoclinic



(6)
VASP calculation (PBE) on a relaxed structure of TbPr2ErTm2.

Cell lengths 7.0189, 5.6523, 9.7866 Å; angles 90.00, 90.00, 90.00 degrees
Fractional positions:
Tb: 0.2500 0.0000 0.1581
Tb: 0.7500 0.0000 0.8419
Pr: 0.0000 0.0000 0.5000
Pr: 0.2500 0.5000 0.6792
Pr: 0.5000 0.0000 0.5000
Pr: 0.7500 0.5000 0.3208
Er: 0.0000 0.5000 0.0000
Er: 0.5000 0.5000 0.0000
Tm: 0.2500 0.0000 0.8332
Tm: 0.2500 0.5000 0.3357
Tm: 0.7500 0.0000 0.1668
Tm: 0.7500 0.5000 0.6643

## Properties
Energy (eV per atom): -4.547
DOS at the Fermi energy (states/eV per atom): 1.531
SG: No. 51
Crystal system: orthorhombic



(7)
VASP calculation (PBE) on a relaxed structure of TbPrEr2Tm4.

Cell lengths 7.0730, 7.0809, 9.9166 Å; angles 90.00, 90.00, 90.00 degrees
Fractional positions:
Tb: 0.0000 0.0000 0.0000
Tb: 0.0000 0.5000 0.0000
Pr: 0.0000 0.0000 0.5000
Pr: 0.5000 0.0000 0.0000
Er: 0.0000 0.5000 0.5000
Er: 0.5000 0.0000 0.5000
Er: 0.5000 0.5000 0.0000
Er: 0.5000 0.5000 0.5000
Tm: 0.2507 0.2528 0.2510
Tm: 0.2507 0.2528 0.7490
Tm: 0.2507 0.7472 0.2510
Tm: 0.2507 0.7472 0.7490
Tm: 0.7493 0.2528 0.2510
Tm: 0.7493 0.2528 0.7490
Tm: 0.7493 0.7472 0.2510
Tm: 0.7493 0.7472 0.7490

## Properties
Energy (eV per atom): -4.530
DOS at the Fermi energy (states/eV per atom): 1.326
SG: No. 47
Crystal system: orthorhombic



(8)
VASP calculation (PBE) on a relaxed structure of Tb2Pr2ErTm2.

Cell lengths 6.1148, 6.1148, 11.8554 Å; angles 108.59, 108.59, 33.43 degrees
Fractional positions:
Tb: 0.0500 0.0500 0.2664
Tb: 0.9500 0.9500 0.7336
Pr: 0.1700 0.1700 0.5853
Pr: 0.8300 0.8300 0.4147
Er: 0.5000 0.5000 0.0000
Tm: 0.2732 0.2732 0.1337
Tm: 0.7268 0.7268 0.8663

## Properties
Energy (eV per atom): -4.533
DOS at the Fermi energy (states/eV per atom): 1.573
SG: No. 12
Crystal system: monoclinic



(9)
VASP calculation (PBE) on a relaxed structure of TbPr2Er2Tm.

Cell lengths 7.0201, 5.6540, 9.7968 Å; angles 90.00, 90.00, 90.00 degrees
Fractional positions:
Tb: 0.2500 0.0000 0.1570
Tb: 0.7500 0.0000 0.8430
Pr: 0.0000 0.0000 0.5000
Pr: 0.2500 0.5000 0.6800
Pr: 0.5000 0.0000 0.5000
Pr: 0.7500 0.5000 0.3200
Er: 0.2500 0.0000 0.8326
Er: 0.2500 0.5000 0.3357
Er: 0.7500 0.0000 0.1674
Er: 0.7500 0.5000 0.6643
Tm: 0.0000 0.5000 0.0000
Tm: 0.5000 0.5000 0.0000

## Properties
Energy (eV per atom): -4.563
DOS at the Fermi energy (states/eV per atom): 1.512
SG: No. 51
Crystal system: orthorhombic



(10)
VASP calculation (PBE) on a relaxed structure of Tb5PrErTm2.

Cell lengths 10.3308, 10.3308, 10.6413 Å; angles 90.00, 90.00, 148.65 degrees
Fractional positions:
Tb: 0.0172 0.9828 0.5000
Tb: 0.2823 0.7177 0.7791
Tb: 0.2999 0.7001 0.1805
Tb: 0.3945 0.6055 0.4986
Tb: 0.4786 0.5214 0.2128
Tb: 0.5214 0.4786 0.7128
Tb: 0.6055 0.3945 0.9986
Tb: 0.7001 0.2999 0.6805
Tb: 0.7177 0.2823 0.2791
Tb: 0.9828 0.0172 0.0000
Pr: 0.2020 0.7980 0.4845
Pr: 0.7980 0.2020 0.9845
Er: 0.4135 0.5865 0.9297
Er: 0.5865 0.4135 0.4297
Tm: 0.1082 0.8918 0.2131
Tm: 0.1142 0.8858 0.7926
Tm: 0.8858 0.1142 0.2926
Tm: 0.8918 0.1082 0.7131

## Properties
Energy (eV per atom): -4.448
DOS at the Fermi energy (states/eV per atom): 1.532
SG: No. 36
Crystal system: orthorhombic



(11)
VASP calculation (PBE) on a relaxed structure of TbPr4ErTm2.

Cell lengths 5.1474, 5.1753, 9.9957 Å; angles 90.00, 90.01, 90.00 degrees
Fractional positions:
Tb: 0.0000 0.0000 0.0000
Pr: 0.0008 0.5000 0.7492
Pr: 0.4990 0.0000 0.2511
Pr: 0.5010 0.0000 0.7489
Pr: 0.9992 0.5000 0.2508
Er: 0.5000 0.5000 0.5000
Tm: 0.0000 0.0000 0.5000
Tm: 0.5000 0.5000 0.0000

## Properties
Energy (eV per atom): -4.643
DOS at the Fermi energy (states/eV per atom): 1.281
SG: No. 10
Crystal system: monoclinic



(12)
VASP calculation (PBE) on a relaxed structure of Tb2PrEr2Tm.

Cell lengths 6.9091, 16.1192, 3.5080 Å; angles 90.00, 90.00, 90.00 degrees
Fractional positions:
Tb: 0.2482 0.1586 0.0000
Tb: 0.2518 0.6586 0.5000
Tb: 0.7482 0.3414 0.5000
Tb: 0.7518 0.8414 0.0000
Pr: 0.0000 0.5000 0.0000
Pr: 0.5000 0.0000 0.5000
Er: 0.2499 0.3447 0.5000
Er: 0.2501 0.8447 0.0000
Er: 0.7499 0.1553 0.0000
Er: 0.7501 0.6553 0.5000
Tm: 0.0000 0.0000 0.5000
Tm: 0.5000 0.5000 0.0000

## Properties
Energy (eV per atom): -4.442
DOS at the Fermi energy (states/eV per atom): 1.501
SG: No. 58
Crystal system: orthorhombic



(13)
VASP calculation (PBE) on a relaxed structure of TbPrErTm.

Cell lengths 5.6855, 5.6855, 5.6855 Å; angles 60.00, 60.00, 60.00 degrees
Fractional positions:
Tb: 0.0000 0.0000 0.0000
Pr: 0.5000 0.5000 0.5000
Er: 0.7500 0.7500 0.7500
Tm: 0.2500 0.2500 0.2500

## Properties
Energy (eV per atom): -4.500
DOS at the Fermi energy (states/eV per atom): 1.647
SG: No. 216
Crystal system: cubic
Energy above the most stable polymorph in this dataset (meV per atom): 85



(14)
VASP calculation (PBE) on a relaxed structure of TbPr6Er2Tm3.

Cell lengths 6.2765, 6.2765, 11.8097 Å; angles 95.08, 95.08, 119.99 degrees
Fractional positions:
Tb: 0.0000 0.0000 0.0000
Pr: 0.0838 0.4174 0.2512
Pr: 0.2497 0.2497 0.7490
Pr: 0.4174 0.0838 0.2512
Pr: 0.5826 0.9162 0.7488
Pr: 0.7503 0.7503 0.2510
Pr: 0.9162 0.5826 0.7488
Er: 0.3334 0.6666 0.0000
Er: 0.6666 0.3334 0.0000
Tm: 0.1667 0.8333 0.5000
Tm: 0.5000 0.5000 0.5000
Tm: 0.8333 0.1667 0.5000

## Properties
Energy (eV per atom): -4.639
DOS at the Fermi energy (states/eV per atom): 1.023
SG: No. 12
Crystal system: monoclinic



(15)
VASP calculation (PBE) on a relaxed structure of TbPr2Er5Tm.

Cell lengths 9.9167, 9.9167, 9.9167 Å; angles 128.67, 128.67, 75.54 degrees
Fractional positions:
Tb: 0.2500 0.2500 0.0000
Tb: 0.7500 0.7500 0.0000
Pr: 0.1183 0.6183 0.7366
Pr: 0.3817 0.1183 0.5000
Pr: 0.6183 0.8817 0.5000
Pr: 0.8817 0.3817 0.2634
Er: 0.0000 0.0000 0.0000
Er: 0.0724 0.1447 0.5000
Er: 0.1447 0.6447 0.0722
Er: 0.3553 0.4276 0.5000
Er: 0.4276 0.9276 0.0722
Er: 0.5000 0.5000 0.0000
Er: 0.5724 0.0724 0.9278
Er: 0.6447 0.5724 0.5000
Er: 0.8553 0.3553 0.9278
Er: 0.9276 0.8553 0.5000
Tm: 0.2500 0.7500 0.5000
Tm: 0.7500 0.2500 0.5000

## Properties
Energy (eV per atom): -4.333
DOS at the Fermi energy (states/eV per atom): 1.275
SG: No. 140
Crystal system: tetragonal



(16)
VASP calculation (PBE) on a relaxed structure of Tb2Pr3ErTm6.

Cell lengths 6.1752, 6.1752, 11.7058 Å; angles 95.03, 95.03, 119.97 degrees
Fractional positions:
Tb: 0.1665 0.8335 0.0000
Tb: 0.8335 0.1665 0.0000
Pr: 0.0000 0.0000 0.5000
Pr: 0.3333 0.6667 0.5000
Pr: 0.6667 0.3333 0.5000
Er: 0.5000 0.5000 0.0000
Tm: 0.0846 0.4178 0.7543
Tm: 0.2490 0.2490 0.2458
Tm: 0.4178 0.0846 0.7543
Tm: 0.5822 0.9154 0.2457
Tm: 0.7510 0.7510 0.7542
Tm: 0.9154 0.5822 0.2457

## Properties
Energy (eV per atom): -4.559
DOS at the Fermi energy (states/eV per atom): 1.256
SG: No. 12
Crystal system: monoclinic



(17)
VASP calculation (PBE) on a relaxed structure of TbPr2ErTm4.

Cell lengths 5.0487, 5.0718, 9.9337 Å; angles 90.00, 90.00, 90.00 degrees
Fractional positions:
Tb: 0.0000 0.0000 0.0000
Pr: 0.0000 0.0000 0.5000
Pr: 0.5000 0.5000 0.0000
Er: 0.5000 0.5000 0.5000
Tm: 0.0000 0.5000 0.2510
Tm: 0.0000 0.5000 0.7490
Tm: 0.5000 0.0000 0.2505
Tm: 0.5000 0.0000 0.7495

## Properties
Energy (eV per atom): -4.553
DOS at the Fermi energy (states/eV per atom): 1.459
SG: No. 47
Crystal system: orthorhombic



(18)
VASP calculation (PBE) on a relaxed structure of Tb6Pr2ErTm3.

Cell lengths 6.1702, 6.1702, 11.8096 Å; angles 94.98, 94.98, 119.97 degrees
Fractional positions:
Tb: 0.0852 0.4174 0.7546
Tb: 0.2469 0.2469 0.2452
Tb: 0.4174 0.0852 0.7546
Tb: 0.5826 0.9148 0.2454
Tb: 0.7531 0.7531 0.7548
Tb: 0.9148 0.5826 0.2454
Pr: 0.3334 0.6666 0.5000
Pr: 0.6666 0.3334 0.5000
Er: 0.0000 0.0000 0.5000
Tm: 0.1663 0.8337 0.0000
Tm: 0.5000 0.5000 0.0000
Tm: 0.8337 0.1663 0.0000

## Properties
Energy (eV per atom): -4.590
DOS at the Fermi energy (states/eV per atom): 1.303
SG: No. 12
Crystal system: monoclinic



(19)
VASP calculation (PBE) on a relaxed structure of TbPrEr2Tm.

Cell lengths 7.0871, 7.0871, 7.1906 Å; angles 90.00, 90.00, 107.63 degrees
Fractional positions:
Tb: 0.0007 0.9993 0.7500
Tb: 0.9993 0.0007 0.2500
Pr: 0.2709 0.7291 0.2500
Pr: 0.7291 0.2709 0.7500
Er: 0.3111 0.3111 0.0000
Er: 0.3111 0.3111 0.5000
Er: 0.6889 0.6889 0.0000
Er: 0.6889 0.6889 0.5000
Tm: 0.2807 0.7193 0.7500
Tm: 0.7193 0.2807 0.2500

## Properties
Energy (eV per atom): -4.218
DOS at the Fermi energy (states/eV per atom): 1.445
SG: No. 63
Crystal system: orthorhombic



(20)
VASP calculation (PBE) on a relaxed structure of Tb2Pr4ErTm.

Cell lengths 5.1524, 5.1770, 10.0569 Å; angles 90.00, 90.00, 90.00 degrees
Fractional positions:
Tb: 0.0000 0.0000 0.0000
Tb: 0.5000 0.5000 0.5000
Pr: 0.0000 0.5000 0.2494
Pr: 0.0000 0.5000 0.7506
Pr: 0.5000 0.0000 0.2499
Pr: 0.5000 0.0000 0.7501
Er: 0.0000 0.0000 0.5000
Tm: 0.5000 0.5000 0.0000

## Properties
Energy (eV per atom): -4.661
DOS at the Fermi energy (states/eV per atom): 1.296
SG: No. 47
Crystal system: orthorhombic



no.,spin magnetization (μB per formula unit),formation energy (eV per atom)
1,0.00,0.0231
2,0.00,0.0865
3,0.00,0.0245
4,0.00,0.1367
5,0.00,0.0852
6,0.00,0.0691
7,0.00,0.0230
8,0.00,0.0853
9,0.00,0.0678
10,0.00,0.1557
11,0.00,0.0137
12,0.00,0.1644
13,0.00,0.1111
14,0.00,0.0146
15,0.00,0.2751
16,0.00,0.0240
17,0.00,0.0271
18,0.00,0.0201
19,0.00,0.3833
20,0.00,0.0153